Record 1
# MgZn2FeCu4 (GGA-PBE, relaxed)
data_MgZn2FeCu4
_chemical_formula_sum 'Mg1 Zn2 Fe1 Cu4'
_space_group_name_H-M_alt 'P 1'
_space_group_IT_number 1
_cell_length_a 4.124
_cell_length_b 4.124
_cell_length_c 6.085
_cell_angle_alpha 90.00
_cell_angle_beta 90.00
_cell_angle_gamma 90.00
loop_
_space_group_symop_operation_xyz
'x,y,z'
loop_
_atom_site_label
_atom_site_type_symbol
_atom_site_fract_x
_atom_site_fract_y
_atom_site_fract_z
Cu1 Cu 0.500 0.000 0.236
Cu2 Cu 0.000 0.500 0.236
Cu3 Cu 0.500 0.000 0.764
Cu4 Cu 0.000 0.500 0.764
Fe1 Fe 0.500 0.500 0.000
Mg1 Mg 0.000 0.000 0.500
Zn1 Zn 0.000 0.000 0.000
Zn2 Zn 0.500 0.500 0.500
# total energy	-27.31	eV for the cell shown

***

Record 2
# MgZnFeCu (GGA-PBE, relaxed)
data_MgZnFeCu
_chemical_formula_sum 'Mg1 Zn1 Fe1 Cu1'
_space_group_name_H-M_alt 'P 1'
_space_group_IT_number 1
_cell_length_a 4.211
_cell_length_b 4.211
_cell_length_c 4.211
_cell_angle_alpha 60.00
_cell_angle_beta 60.00
_cell_angle_gamma 60.00
loop_
_space_group_symop_operation_xyz
'x,y,z'
loop_
_atom_site_label
_atom_site_type_symbol
_atom_site_fract_x
_atom_site_fract_y
_atom_site_fract_z
Cu1 Cu 0.750 0.750 0.750
Fe1 Fe 0.000 0.000 0.000
Mg1 Mg 0.500 0.500 0.500
Zn1 Zn 0.250 0.250 0.250
# energy above the lowest structure with this stoichiometry	0.000	eV/atom
# total energy	-14.34	eV for the cell shown

***

Record 3
# FeCuMoPb (GGA-PBE, relaxed)
data_FeCuMoPb
_chemical_formula_sum 'Fe1 Cu1 Mo1 Pb1'
_space_group_name_H-M_alt 'P 1'
_space_group_IT_number 1
_cell_length_a 4.417
_cell_length_b 4.417
_cell_length_c 4.417
_cell_angle_alpha 60.00
_cell_angle_beta 60.00
_cell_angle_gamma 60.00
loop_
_space_group_symop_operation_xyz
'x,y,z'
loop_
_atom_site_label
_atom_site_type_symbol
_atom_site_fract_x
_atom_site_fract_y
_atom_site_fract_z
Cu1 Cu 0.250 0.250 0.250
Fe1 Fe 0.750 0.750 0.750
Mo1 Mo 0.500 0.500 0.500
Pb1 Pb 0.000 0.000 0.000
# energy above the lowest structure with this stoichiometry	0.000	eV/atom
# total energy	-24.09	eV for the cell shown

***

Record 4
# ScFeCuMo (GGA-PBE, relaxed)
data_ScFeCuMo
_chemical_formula_sum 'Sc1 Fe1 Cu1 Mo1'
_space_group_name_H-M_alt 'P 1'
_space_group_IT_number 1
_cell_length_a 4.344
_cell_length_b 4.344
_cell_length_c 4.344
_cell_angle_alpha 60.00
_cell_angle_beta 60.00
_cell_angle_gamma 60.00
loop_
_space_group_symop_operation_xyz
'x,y,z'
loop_
_atom_site_label
_atom_site_type_symbol
_atom_site_fract_x
_atom_site_fract_y
_atom_site_fract_z
Cu1 Cu 0.750 0.750 0.750
Fe1 Fe 0.250 0.250 0.250
Mo1 Mo 0.000 0.000 0.000
Sc1 Sc 0.500 0.500 0.500
# energy above the lowest structure with this stoichiometry	0.000	eV/atom
# total energy	-28.81	eV for the cell shown

***

Record 5
# ScFeCuMo (GGA-PBE, relaxed)
data_ScFeCuMo
_chemical_formula_sum 'Sc1 Fe1 Cu1 Mo1'
_space_group_name_H-M_alt 'P 1'
_space_group_IT_number 1
_cell_length_a 4.297
_cell_length_b 4.297
_cell_length_c 4.297
_cell_angle_alpha 60.00
_cell_angle_beta 60.00
_cell_angle_gamma 60.00
loop_
_space_group_symop_operation_xyz
'x,y,z'
loop_
_atom_site_label
_atom_site_type_symbol
_atom_site_fract_x
_atom_site_fract_y
_atom_site_fract_z
Cu1 Cu 0.750 0.750 0.750
Fe1 Fe 0.000 0.000 0.000
Mo1 Mo 0.250 0.250 0.250
Sc1 Sc 0.500 0.500 0.500
# energy above the lowest structure with this stoichiometry	0.038	eV/atom
# total energy	-28.66	eV for the cell shown

***

Record 6
# TlFeCuMo (GGA-PBE, relaxed)
data_TlFeCuMo
_chemical_formula_sum 'Tl1 Fe1 Cu1 Mo1'
_space_group_name_H-M_alt 'P 1'
_space_group_IT_number 1
_cell_length_a 4.409
_cell_length_b 4.409
_cell_length_c 4.409
_cell_angle_alpha 60.00
_cell_angle_beta 60.00
_cell_angle_gamma 60.00
loop_
_space_group_symop_operation_xyz
'x,y,z'
loop_
_atom_site_label
_atom_site_type_symbol
_atom_site_fract_x
_atom_site_fract_y
_atom_site_fract_z
Cu1 Cu 0.750 0.750 0.750
Fe1 Fe 0.250 0.250 0.250
Mo1 Mo 0.000 0.000 0.000
Tl1 Tl 0.500 0.500 0.500
# energy above the lowest structure with this stoichiometry	0.000	eV/atom
# total energy	-22.99	eV for the cell shown

***

| no. | total magnetic moment (μB/atom) |
| --- | --- |
| 1 | 0.309 |
| 2 | 0.621 |
| 3 | 0.249 |
| 4 | 0.035 |
| 5 | 0.000 |
| 6 | 0.157 |